Record 1
VASP calculation (GGA-PBE) on crystalline PrTh2Si2 at its relaxed geometry.

Values from the calculation:
E in eV per cell: -67.23
Magnetic moment in μB per formula unit: 0.0
E_form (uncorrected) in eV per atom: -0.63
Crystal system: tetragonal

a b c (Å): 4.1972 7.8602 7.8602
angles (deg): 90.00 90.00 90.00
Closest atoms and distances in Å follow each position.
Sites, in units of the cell vectors:
Si 0.0000 0.1120 0.3880  1 Si 2.49
Si 0.0000 0.3880 0.8880  1 Si 2.49
Si 0.0000 0.6120 0.1120  1 Si 2.49
Si 0.0000 0.8880 0.6120  1 Si 2.49
Th 0.5000 0.1795 0.6795  6 Si 3.13-3.15
Th 0.5000 0.8205 0.3205  6 Si 3.13-3.15
Th 0.5000 0.3205 0.1795  6 Si 3.13-3.15
Th 0.5000 0.6795 0.8205  6 Si 3.13-3.15
Pr 0.0000 0.0000 0.0000  4 Si 3.17
Pr 0.0000 0.5000 0.5000  4 Si 3.17

=====

Record 2
VASP calculation (GGA-PBE) on crystalline PrThSi4 at its relaxed geometry.

Values from the calculation:
E in eV per cell: -37.47
Magnetic moment in μB per formula unit: 0.0
E_form (uncorrected) in eV per atom: -0.60
Crystal system: tetragonal

a b c (Å): 4.1691 4.1691 7.7566
angles (deg): 105.59 105.59 90.00
Closest atoms and distances in Å follow each position.
Sites, in units of the cell vectors:
Si 0.8342 0.3342 0.6684  3 Si 2.40-2.42
Si 0.6658 0.1658 0.3316  3 Si 2.40-2.42
Si 0.5827 0.5827 0.1654  3 Si 2.37-2.40
Si 0.4173 0.4173 0.8346  3 Si 2.37-2.40
Pr 0.2500 0.7500 0.5000  12 Si 3.18-3.19
Th 0.0000 0.0000 0.0000  12 Si 3.16-3.18

=====

Record 3
VASP calculation (GGA-PBE) on crystalline PrTh2Si at its relaxed geometry.

Values from the calculation:
E in eV per cell: -25.64
Magnetic moment in μB per formula unit: 0.0
ΔE to the lowest computed polymorph in eV per atom: 0.000
E_form (uncorrected) in eV per atom: -0.15
Crystal system: trigonal

a b c (Å): 3.9364 3.9364 9.8075
angles (deg): 78.42 78.42 60.00
Closest atoms and distances in Å follow each position.
Sites, in units of the cell vectors:
Si 0.6669 0.6669 0.9992  6 Th 2.90-2.91
Th 0.2703 0.2703 0.1892  3 Si 2.91
Th 0.0633 0.0633 0.8101  3 Si 2.90
Pr 0.4995 0.4995 0.5014  6 Th 3.72-3.75, 6 Pr 3.94